1.
Crystalline Rb3CaN at its relaxed geometry. Source: Alexandria, functional PBE-GGA.

Computed properties:
The relative energy among the computed polymorphs comes out at 0.00 kJ/mol of atoms. The calculation puts the density of states at the Fermi level at 6.35 states/eV per cell. The calculation puts the formation energy without anion corrections at 688 meV per atom.

Cell and atoms, written as POSCAR:
```
Rb3CaN
1.0
6.1599 0.0000 0.0000
0.0000 6.1599 0.0000
0.0000 0.0000 6.1599
Rb Ca N
3 1 1
Direct
0.0000 0.0000 0.5000
0.0000 0.5000 0.0000
0.5000 0.0000 0.0000
0.5000 0.5000 0.5000
0.0000 0.0000 0.0000
```

2.
Crystalline RbCa2ReN4 at its relaxed geometry. Source: Alexandria, functional PBE-GGA.

Computed properties:
The calculation puts the density of states at the Fermi level at 0.00 states/eV per cell. The calculation puts the formation energy without anion corrections at -718 meV per atom.

Cell and atoms, written as POSCAR:
```
RbCa2ReN4
1.0
8.3270 0.0000 0.0000
0.0000 6.0187 0.0000
0.0000 0.0000 5.9570
Rb Ca Re N
2 4 2 8
Direct
0.0000 0.1906 0.0000
0.5000 0.8094 0.5000
0.2462 0.3105 0.5101
0.2538 0.6895 0.0101
0.7462 0.6895 0.0101
0.7538 0.3105 0.5101
0.0000 0.7942 0.5226
0.5000 0.2058 0.0226
0.0000 0.0989 0.4910
0.0000 0.7307 0.8247
0.1804 0.6732 0.3929
0.3196 0.3268 0.8929
0.5000 0.2693 0.3247
0.5000 0.9011 0.9910
0.6804 0.3268 0.8929
0.8196 0.6732 0.3929
```

3.
Crystalline RbCaS2N at its relaxed geometry. Source: Alexandria, functional PBE-GGA.

Computed properties:
The relative energy among the computed polymorphs comes out at 79.02 kJ/mol of atoms. The calculation puts the density of states at the Fermi level at 2.55 states/eV per cell. The calculation puts the formation energy without anion corrections at 856 meV per atom.

Cell and atoms, written as POSCAR:
```
RbCaS2N
1.0
5.7028 0.0000 0.0000
0.0000 5.7028 0.0000
0.0000 0.0000 4.9169
Rb Ca S N
1 1 2 1
Direct
0.0000 0.0000 0.0000
0.5000 0.5000 0.5000
0.0000 0.5000 0.0000
0.5000 0.0000 0.0000
0.0000 0.0000 0.5000
```

4.
Crystalline RbCaSN2 at its relaxed geometry. Source: Alexandria, functional PBE-GGA.

Computed properties:
The relative energy among the computed polymorphs comes out at 0.00 kJ/mol of atoms. The calculation puts the density of states at the Fermi level at 3.16 states/eV per cell. The calculation puts the formation energy without anion corrections at 684 meV per atom.

Cell and atoms, written as POSCAR:
```
RbCaSN2
1.0
4.9279 0.0000 0.0000
0.0000 4.9279 0.0000
0.0000 0.0000 5.4801
Rb Ca S N
1 1 1 2
Direct
0.0000 0.0000 0.0000
0.5000 0.5000 0.5000
0.5000 0.5000 0.0000
0.0000 0.5000 0.5000
0.5000 0.0000 0.5000
```

Please write out number 2 again, unchanged.
Crystalline RbCa2ReN4 at its relaxed geometry. Source: Alexandria, functional PBE-GGA.

Computed properties:
The calculation puts the density of states at the Fermi level at 0.00 states/eV per cell. The calculation puts the formation energy without anion corrections at -718 meV per atom.

Cell and atoms, written as POSCAR:
```
RbCa2ReN4
1.0
8.3270 0.0000 0.0000
0.0000 6.0187 0.0000
0.0000 0.0000 5.9570
Rb Ca Re N
2 4 2 8
Direct
0.0000 0.1906 0.0000
0.5000 0.8094 0.5000
0.2462 0.3105 0.5101
0.2538 0.6895 0.0101
0.7462 0.6895 0.0101
0.7538 0.3105 0.5101
0.0000 0.7942 0.5226
0.5000 0.2058 0.0226
0.0000 0.0989 0.4910
0.0000 0.7307 0.8247
0.1804 0.6732 0.3929
0.3196 0.3268 0.8929
0.5000 0.2693 0.3247
0.5000 0.9011 0.9910
0.6804 0.3268 0.8929
0.8196 0.6732 0.3929
```

Which of these has the highest formation energy without anion corrections? RbCaS2N